# 1
Below is an optimized crystal structure of SrInMo, with properties calculated at the GGA-PBEsol level.

The energy of formation is 559 meV/atom.

Cell lengths 4.239, 4.263, 14.766 Å; angles 90.00, 90.00, 90.00 degrees
Space group Fmm2 (No. 42)
One atom of each set of equivalent atoms:
1 Sr 0.000 0.000 0.000 x4
2 In 0.000 0.000 0.687 x4
3 Mo 0.000 0.000 0.325 x4

***

# 2
Below is an optimized crystal structure of Ta2InMo, with properties calculated at the GGA-PBEsol level.

The energy of formation is 223 meV/atom.

Cell lengths 3.0989, 3.0989, 26.5301 Å; angles 90.00, 90.00, 120.00 degrees
Space group R-3m (No. 166, hexagonal axes)
One atom of each set of equivalent atoms:
1 Ta 0.0000 0.0000 0.2412 x6
2 In 0.0000 0.0000 0.0000 x3
3 Mo 0.0000 0.0000 0.5000 x3

***

# 3
Below is an optimized crystal structure of TaInMo2, with properties calculated at the GGA-PBEsol level.

The energy of formation is 170 meV/atom.

Cell lengths 2.792, 4.537, 5.494 Å; angles 90.00, 102.31, 90.00 degrees
Space group Pm (No. 6)
One atom of each set of equivalent atoms:
1 Ta 0.000 0.000 0.000 x1
2 In 0.692 0.500 0.264 x1
3 Mo 0.271 0.500 0.751 x1
4 Mo 0.485 0.000 0.533 x1